First-principles (PBE-GGA) data for Mg3Mn5 after structural relaxation, as listed in the Alexandria database.

Output
The value obtained for the formation energy from the elements is 0.5427 eV per atom. Its space-group type is P6_3/mcm. The value obtained for the density of states at the Fermi level is 15.8 states/eV per cell. The energy above the most stable polymorph in this dataset comes out at 209 meV per atom.

Cell lengths 7.970, 7.970, 4.952 Å; angles 90.00, 90.00, 120.01 degrees
Site moments in Bohr magnetons follow the coordinates.
Fractional positions:
Mn1 0.333 0.667 0.500  3.27
Mn2 0.667 0.333 0.000  3.27
Mn3 0.000 0.205 0.250  3.53
Mn4 0.667 0.333 0.500  3.27
Mn5 0.795 0.000 0.750  3.53
Mn6 0.000 0.795 0.750  3.53
Mn7 0.205 0.000 0.250  3.53
Mn8 0.205 0.205 0.750  3.53
Mn9 0.333 0.667 0.000  3.27
Mn10 0.795 0.795 0.250  3.53
Mg1 0.000 0.396 0.750  -0.05
Mg2 0.000 0.604 0.250  -0.05
Mg3 0.396 0.396 0.250  -0.05
Mg4 0.604 0.604 0.750  -0.05
Mg5 0.604 0.000 0.250  -0.05
Mg6 0.396 0.000 0.750  -0.05

---

First-principles (PBE-GGA) data for MgMn3 after structural relaxation, as listed in the Alexandria database.

Output
The value obtained for the formation energy from the elements is 0.5633 eV per atom. Its space-group type is Pm-3n. The value obtained for the density of states at the Fermi level is 10.1 states/eV per cell.

Cell lengths 5.023, 5.023, 5.023 Å; angles 90.00, 90.00, 90.00 degrees
Site moments in Bohr magnetons follow the coordinates.
Fractional positions:
Mn1 0.250 0.500 0.000  3.36
Mn2 0.500 0.000 0.250  3.36
Mn3 0.750 0.500 0.000  3.36
Mn4 0.000 0.750 0.500  3.36
Mn5 0.500 0.000 0.750  3.36
Mn6 0.000 0.250 0.500  3.36
Mg1 0.000 0.000 0.000  -0.07
Mg2 0.500 0.500 0.500  -0.07

---

First-principles (PBE-GGA) data for MgMn after structural relaxation, as listed in the Alexandria database.

Output
The value obtained for the formation energy from the elements is 1.1166 eV per atom. Its space-group type is I-43m. The value obtained for the density of states at the Fermi level is 21.1 states/eV per cell.

Cell lengths 8.353, 8.353, 8.353 Å; angles 90.00, 90.00, 90.00 degrees
Site moments in Bohr magnetons follow the coordinates.
Fractional positions:
Mn1 0.893 0.893 0.893  3.47
Mn2 0.393 0.607 0.607  3.47
Mn3 0.607 0.393 0.607  3.47
Mn4 0.107 0.893 0.107  3.47
Mn5 0.607 0.607 0.393  3.47
Mn6 0.393 0.393 0.393  3.47
Mn7 0.107 0.107 0.893  3.47
Mn8 0.893 0.107 0.107  3.47
Mg1 0.797 0.203 0.797  -0.02
Mg2 0.203 0.203 0.203  -0.02
Mg3 0.797 0.797 0.203  -0.02
Mg4 0.703 0.297 0.297  -0.02
Mg5 0.297 0.703 0.297  -0.02
Mg6 0.703 0.703 0.703  -0.02
Mg7 0.297 0.297 0.703  -0.02
Mg8 0.203 0.797 0.797  -0.02

---

First-principles (PBE-GGA) data for MgMn after structural relaxation, as listed in the Alexandria database.

Output
The value obtained for the formation energy from the elements is 0.3882 eV per atom. Its space-group type is P-6m2. The value obtained for the density of states at the Fermi level is 2.3 states/eV per cell.

Cell lengths 2.930, 2.930, 4.723 Å; angles 90.00, 90.00, 120.00 degrees
Site moments in Bohr magnetons follow the coordinates.
Fractional positions:
Mn1 0.667 0.333 0.500  3.49
Mg1 0.000 0.000 0.000  -0.03

---

First-principles (PBE-GGA) data for MgMn3 after structural relaxation, as listed in the Alexandria database.

Output
The value obtained for the formation energy from the elements is 0.3121 eV per atom. Its space-group type is Cmmm. The value obtained for the density of states at the Fermi level is 5.4 states/eV per cell.

Cell lengths 4.606, 4.606, 2.743 Å; angles 90.00, 90.00, 105.45 degrees
Site moments in Bohr magnetons follow the coordinates.
Fractional positions:
Mg1 0.000 0.000 0.000  -0.03
Mn1 0.000 0.500 0.500  2.81
Mn2 0.500 0.500 0.000  -2.83
Mn3 0.500 0.000 0.500  2.81

---

First-principles (PBE-GGA) data for MgMn2 after structural relaxation, as listed in the Alexandria database.

Output
The value obtained for the formation energy from the elements is 0.4962 eV per atom. Its space-group type is Pnnm. The value obtained for the density of states at the Fermi level is 6.1 states/eV per cell.

Cell lengths 2.527, 4.208, 7.355 Å; angles 90.00, 90.00, 90.00 degrees
Site moments in Bohr magnetons follow the coordinates.
Fractional positions:
Mg1 0.000 0.000 0.000  -0.01
Mg2 0.500 0.500 0.500  -0.01
Mn1 0.504 0.500 0.845  0.98
Mn2 0.496 0.500 0.155  0.98
Mn3 0.004 0.000 0.655  0.98
Mn4 0.996 0.000 0.345  0.98

---

Copy entry 3 word for word.
First-principles (PBE-GGA) data for MgMn after structural relaxation, as listed in the Alexandria database.

Output
The value obtained for the formation energy from the elements is 1.1166 eV per atom. Its space-group type is I-43m. The value obtained for the density of states at the Fermi level is 21.1 states/eV per cell.

Cell lengths 8.353, 8.353, 8.353 Å; angles 90.00, 90.00, 90.00 degrees
Site moments in Bohr magnetons follow the coordinates.
Fractional positions:
Mn1 0.893 0.893 0.893  3.47
Mn2 0.393 0.607 0.607  3.47
Mn3 0.607 0.393 0.607  3.47
Mn4 0.107 0.893 0.107  3.47
Mn5 0.607 0.607 0.393  3.47
Mn6 0.393 0.393 0.393  3.47
Mn7 0.107 0.107 0.893  3.47
Mn8 0.893 0.107 0.107  3.47
Mg1 0.797 0.203 0.797  -0.02
Mg2 0.203 0.203 0.203  -0.02
Mg3 0.797 0.797 0.203  -0.02
Mg4 0.703 0.297 0.297  -0.02
Mg5 0.297 0.703 0.297  -0.02
Mg6 0.703 0.703 0.703  -0.02
Mg7 0.297 0.297 0.703  -0.02
Mg8 0.203 0.797 0.797  -0.02

---

> Which formula does entry 3 have?

MgMn